# 1
PBE Rb2GaAg2, optimized geometry; space-group type = No. 127; energy of formation = 0.13 eV/atom; energy relative to the lowest polymorph listed for this composition = 158 meV/atom; M_tot = 0.00 μB/atom; total energy = -0.1470 Ry per atom; mass density = 4.804 Mg/m³
1.0
7.358 0.000 0.000
0.000 7.358 0.000
0.000 0.000 5.827
Rb Ga Ag
4 2 4
direct
0.177 0.323 0.000 Rb
0.323 0.823 0.000 Rb
0.677 0.177 0.000 Rb
0.823 0.677 0.000 Rb
0.000 0.000 0.500 Ga
0.500 0.500 0.500 Ga
0.140 0.640 0.500 Ag
0.360 0.140 0.500 Ag
0.640 0.860 0.500 Ag
0.860 0.360 0.500 Ag

---

# 2
PBE Rb3GaAg, optimized geometry; space-group type = No. 221; energy of formation = 0.32 eV/atom; energy relative to the lowest polymorph listed for this composition = 0 meV/atom; M_tot = 0.00 μB/atom; total energy = -0.1054 Ry per atom; mass density = 2.398 Mg/m³
1.0
6.698 0.000 0.000
0.000 6.698 0.000
0.000 0.000 6.698
Rb Ga Ag
3 1 1
direct
0.000 0.000 0.500 Rb
0.000 0.500 0.000 Rb
0.500 0.000 0.000 Rb
0.500 0.500 0.500 Ga
0.000 0.000 0.000 Ag

---

# 3
PBE Rb2GaAg, optimized geometry; space-group type = No. 166; energy of formation = 0.43 eV/atom; energy relative to the lowest polymorph listed for this composition = 142 meV/atom; M_tot = 0.00 μB/atom; total energy = -0.1117 Ry per atom; mass density = 3.106 Mg/m³
1.0
4.210 0.000 0.000
-2.105 3.646 0.000
0.000 0.000 36.419
Rb Ga Ag
6 3 3
direct
0.000 0.000 0.098 Rb
0.000 0.000 0.902 Rb
0.333 0.667 0.569 Rb
0.333 0.667 0.764 Rb
0.667 0.333 0.236 Rb
0.667 0.333 0.431 Rb
0.000 0.000 0.000 Ga
0.333 0.667 0.667 Ga
0.667 0.333 0.333 Ga
0.000 0.000 0.500 Ag
0.333 0.667 0.167 Ag
0.667 0.333 0.833 Ag

---

# 4
PBE Rb2GaAg2, optimized geometry; space-group type = No. 139; energy of formation = 0.49 eV/atom; energy relative to the lowest polymorph listed for this composition = 518 meV/atom; M_tot = 0.10 μB/atom; total energy = -0.1205 Ry per atom; mass density = 3.651 Mg/m³
1.0
5.383 0.000 0.000
0.000 5.383 0.000
0.000 0.000 14.325
Rb Ga Ag
4 2 4
direct
0.000 0.500 0.250 Rb
0.000 0.500 0.750 Rb
0.500 0.000 0.250 Rb
0.500 0.000 0.750 Rb
0.000 0.000 0.000 Ga
0.500 0.500 0.500 Ga
0.000 0.000 0.406 Ag
0.000 0.000 0.594 Ag
0.500 0.500 0.094 Ag
0.500 0.500 0.906 Ag

---

# 5
PBE Rb2GaAg, optimized geometry; space-group type = No. 225; energy of formation = 0.29 eV/atom; energy relative to the lowest polymorph listed for this composition = 0 meV/atom; M_tot = 0.31 μB/atom; total energy = -0.1221 Ry per atom; mass density = 3.593 Mg/m³
1.0
8.637 0.000 0.000
0.000 8.637 0.000
0.000 0.000 8.637
Rb Ga Ag
8 4 4
direct
0.250 0.250 0.250 Rb
0.250 0.250 0.750 Rb
0.250 0.750 0.250 Rb
0.250 0.750 0.750 Rb
0.750 0.250 0.250 Rb
0.750 0.250 0.750 Rb
0.750 0.750 0.250 Rb
0.750 0.750 0.750 Rb
0.000 0.000 0.000 Ga
0.000 0.500 0.500 Ga
0.500 0.000 0.500 Ga
0.500 0.500 0.000 Ga
0.000 0.000 0.500 Ag
0.000 0.500 0.000 Ag
0.500 0.000 0.000 Ag
0.500 0.500 0.500 Ag

---

# 6
PBE Rb2GaAg, optimized geometry; space-group type = No. 122; energy of formation = 0.33 eV/atom; energy relative to the lowest polymorph listed for this composition = 40 meV/atom; M_tot = 0.00 μB/atom; total energy = -0.1191 Ry per atom; mass density = 3.563 Mg/m³
1.0
9.814 0.000 0.000
0.000 9.814 0.000
0.000 0.000 6.745
Rb Ga Ag
8 4 4
direct
0.226 0.750 0.125 Rb
0.250 0.226 0.875 Rb
0.250 0.274 0.375 Rb
0.274 0.750 0.625 Rb
0.726 0.250 0.625 Rb
0.750 0.726 0.375 Rb
0.750 0.774 0.875 Rb
0.774 0.250 0.125 Rb
0.000 0.000 0.500 Ga
0.000 0.500 0.750 Ga
0.500 0.000 0.250 Ga
0.500 0.500 0.000 Ga
0.000 0.000 0.000 Ag
0.000 0.500 0.250 Ag
0.500 0.000 0.750 Ag
0.500 0.500 0.500 Ag

---

# 7
PBE RbGa12Ag6, optimized geometry; space-group type = No. 166; energy of formation = 0.00 eV/atom; M_tot = 0.00 μB/atom; total energy = -0.2101 Ry per atom; mass density = 6.764 Mg/m³
1.0
5.917 3.416 3.176
-5.917 3.416 3.176
0.000 -6.833 3.176
Rb Ga Ag
1 12 6
direct
0.000 0.000 0.000 Rb
0.108 0.500 0.892 Ga
0.108 0.892 0.500 Ga
0.144 0.387 0.387 Ga
0.387 0.144 0.387 Ga
0.387 0.387 0.144 Ga
0.500 0.108 0.892 Ga
0.500 0.892 0.108 Ga
0.613 0.613 0.856 Ga
0.613 0.856 0.613 Ga
0.856 0.613 0.613 Ga
0.892 0.108 0.500 Ga
0.892 0.500 0.108 Ga
0.279 0.704 0.704 Ag
0.296 0.296 0.721 Ag
0.296 0.721 0.296 Ag
0.704 0.279 0.704 Ag
0.704 0.704 0.279 Ag
0.721 0.296 0.296 Ag

---

# 8
PBE RbGa3Ag, optimized geometry; space-group type = No. 221; energy of formation = 0.22 eV/atom; energy relative to the lowest polymorph listed for this composition = 0 meV/atom; M_tot = 0.00 μB/atom; total energy = -0.1736 Ry per atom; mass density = 4.672 Mg/m³
1.0
5.230 0.000 0.000
0.000 5.230 0.000
0.000 0.000 5.230
Rb Ga Ag
1 3 1
direct
0.000 0.000 0.000 Rb
0.000 0.500 0.500 Ga
0.500 0.000 0.500 Ga
0.500 0.500 0.000 Ga
0.500 0.500 0.500 Ag

---

# 9
PBE RbGa3Ag, optimized geometry; space-group type = No. 221; energy of formation = 1.28 eV/atom; energy relative to the lowest polymorph listed for this composition = 1064 meV/atom; M_tot = 0.00 μB/atom; total energy = -0.0954 Ry per atom; mass density = 3.137 Mg/m³
1.0
5.973 0.000 0.000
0.000 5.973 0.000
0.000 0.000 5.973
Rb Ga Ag
1 3 1
direct
0.000 0.000 0.000 Rb
0.000 0.000 0.500 Ga
0.000 0.500 0.000 Ga
0.500 0.000 0.000 Ga
0.500 0.500 0.500 Ag

---

# 10
PBE RbGa2AgRh, optimized geometry; space-group type = No. 123; energy of formation = -0.18 eV/atom; M_tot = 0.00 μB/atom; total energy = -0.2662 Ry per atom; mass density = 5.688 Mg/m³
1.0
4.810 0.000 0.000
0.000 4.810 0.000
0.000 0.000 5.498
Rb Ga Ag Rh
1 2 1 1
direct
0.000 0.000 0.000 Rb
0.000 0.500 0.500 Ga
0.500 0.000 0.500 Ga
0.500 0.500 0.000 Ag
0.500 0.500 0.500 Rh

---

# 11
PBE RbGaAg2S, optimized geometry; space-group type = No. 123; ΔE_f (raw) = 88 kJ/mol of formula units; M_tot = 0.00 μB/atom; total energy = -0.1899 Ry per atom; mass density = 4.559 Mg/m³
1.0
5.030 0.000 0.000
0.000 5.030 0.000
0.000 0.000 5.802
Rb Ga Ag S
1 1 2 1
direct
0.000 0.000 0.000 Rb
0.500 0.500 0.000 Ga
0.000 0.500 0.500 Ag
0.500 0.000 0.500 Ag
0.500 0.500 0.500 S

---

# 12
PBE Rb2GaAgSb2, optimized geometry; space-group type = No. 72; ΔE_f (raw) = -180 kJ/mol of formula units; M_tot = 0.00 μB/atom; total energy = -0.2196 Ry per atom; mass density = 4.940 Mg/m³
1.0
-3.442 8.444 3.423
3.442 -8.444 3.423
3.442 8.444 -3.423
Rb Ga Ag Sb
4 2 2 4
direct
0.168 0.233 0.401 Rb
0.332 0.733 0.065 Rb
0.668 0.267 0.935 Rb
0.832 0.767 0.599 Rb
0.250 0.750 0.500 Ga
0.750 0.250 0.500 Ga
0.250 0.250 0.000 Ag
0.750 0.750 0.000 Ag
0.093 0.727 0.820 Sb
0.407 0.227 0.634 Sb
0.593 0.773 0.366 Sb
0.907 0.273 0.180 Sb